A relaxed Li2MgZn crystal, computed with GGA-PBE.

Cell lengths 4.630, 3.248, 4.712 Å; angles 90.00, 90.89, 90.00 degrees
Positions (direct):
Li: 0.000 0.000 0.000
Li: 0.500 0.500 0.000
Mg: 0.000 0.500 0.500
Zn: 0.500 0.000 0.500

Calculated values
Magnetization = 0.00 μB/f.u.
VASP energy = -7.08 eV for the cell shown
Formation energy from the elements = -0.09 eV per atom
Crystal system = monoclinic
SG = No. 10